[1]
RbHgPdCl6 after structural relaxation, computed with PBE.

Summary:
ρ, g/cm3: 3.49
VASP energy, eV per atom: -2.751

Unit cell a=6.6595 b=6.6595 c=7.2420 alpha=91.72 beta=91.72 gamma=115.94
Closest atoms and distances in Å follow each position.
Atoms (fractional coordinates):
Rb: 0.0000 0.0000 0.0000  6 Cl 3.34
Hg: 0.3202 0.6798 0.5000  6 Cl 2.59-2.84
Pd: 0.6683 0.3317 0.5000  4 Cl 2.35-2.36
Cl: 0.3850 0.3504 0.3094  1 Pd 2.35
Cl: 0.3940 0.0270 0.7137  1 Hg 2.59, 1 Pd 2.64
Cl: 0.6496 0.6150 0.6906  1 Pd 2.35
Cl: 0.6523 0.0297 0.3108  1 Pd 2.36
Cl: 0.9703 0.3477 0.6892  1 Pd 2.36
Cl: 0.9730 0.6060 0.2863  1 Hg 2.59, 1 Pd 2.64

=====

[2]
HgPdS2Cl after structural relaxation, computed with PBE.

Summary:
ρ, g/cm3: 6.14
Polymorph energy (0 for the lowest one), eV per atom: 0.000
VASP energy, eV per atom: -2.853

Unit cell a=4.7668 b=4.7668 c=4.8406 alpha=90.00 beta=90.00 gamma=90.00
Closest atoms and distances in Å follow each position.
Atoms (fractional coordinates):
Hg: 0.0000 0.0000 0.0000  4 Cl 3.37, 8 S 3.40
Pd: 0.5000 0.5000 0.5000  4 S 2.38, 2 Cl 2.42
S: 0.0000 0.5000 0.5000  2 Pd 2.38
S: 0.5000 0.0000 0.5000  2 Pd 2.38
Cl: 0.5000 0.5000 0.0000  2 Pd 2.42

=====

[3]
TaHgPdCl2 after structural relaxation, computed with PBE.

Summary:
ρ, g/cm3: 6.70
VASP energy, eV per atom: -2.836

Unit cell a=4.9063 b=4.9063 c=5.7506 alpha=90.00 beta=90.00 gamma=90.00
Closest atoms and distances in Å follow each position.
Atoms (fractional coordinates):
Ta: 0.0000 0.0000 0.0000  2 Hg 2.88
Hg: 0.0000 0.0000 0.5000  4 Cl 2.45
Pd: 0.5000 0.5000 0.0000  4 Ta 3.47, 8 Cl 3.78
Cl: 0.0000 0.5000 0.5000  2 Hg 2.45
Cl: 0.5000 0.0000 0.5000  2 Hg 2.45

=====

[4]
Hg2TePdCl after structural relaxation, computed with PBE.

Summary:
ρ, g/cm3: 6.90
VASP energy, eV per atom: -2.079

Unit cell a=5.6700 b=5.6700 c=5.0178 alpha=90.00 beta=90.00 gamma=90.00
Closest atoms and distances in Å follow each position.
Atoms (fractional coordinates):
Hg: 0.0000 0.5000 0.0000  2 Te 2.83
Hg: 0.5000 0.0000 0.0000  2 Te 2.83
Te: 0.0000 0.0000 0.0000  2 Pd 2.51
Pd: 0.0000 0.0000 0.5000  2 Te 2.51
Cl: 0.5000 0.5000 0.5000  8 Hg 3.79, 4 Pd 4.01

=====

[5]
Ti2HgPdCl after structural relaxation, computed with PBE.

Summary:
ρ, g/cm3: 5.79
VASP energy, eV per atom: -4.274

Unit cell a=4.9280 b=4.9280 c=5.1778 alpha=90.00 beta=90.00 gamma=90.00
Closest atoms and distances in Å follow each position.
Atoms (fractional coordinates):
Ti: 0.0000 0.5000 0.0000  2 Pd 2.46
Ti: 0.5000 0.0000 0.0000  2 Pd 2.46
Hg: 0.0000 0.0000 0.5000  2 Pd 2.59
Pd: 0.0000 0.0000 0.0000  4 Ti 2.46, 2 Hg 2.59
Cl: 0.5000 0.5000 0.5000  4 Hg 3.48, 8 Ti 3.57

=====

[6]
TlHg2PdCl6 after structural relaxation, computed with PBE.

Summary:
ρ, g/cm3: 4.98
VASP energy, eV per atom: -2.479

Unit cell a=9.2759 b=9.2759 c=8.4458 alpha=110.01 beta=110.01 gamma=68.81
Closest atoms and distances in Å follow each position.
Atoms (fractional coordinates):
Tl: 0.1063 0.8937 0.7500  1 Pd 2.96, 4 Cl 3.16-3.21
Tl: 0.8937 0.1063 0.2500  1 Pd 2.96, 4 Cl 3.16-3.21
Hg: 0.1884 0.3603 0.8861  2 Cl 2.38-2.44
Hg: 0.3603 0.1884 0.3861  2 Cl 2.38-2.44
Hg: 0.6397 0.8116 0.6139  2 Cl 2.38-2.44
Hg: 0.8116 0.6397 0.1139  2 Cl 2.38-2.44
Pd: 0.1762 0.8238 0.2500  4 Cl 2.46-2.51
Pd: 0.8238 0.1762 0.7500  4 Cl 2.46-2.51
Cl: 0.0414 0.6932 0.3516  1 Hg 2.44, 1 Pd 2.51
Cl: 0.0563 0.6916 0.9513  1 Pd 2.46
Cl: 0.3068 0.9586 0.1484  1 Hg 2.44, 1 Pd 2.51
Cl: 0.3084 0.9437 0.5487  1 Pd 2.46
Cl: 0.3231 0.4050 0.6344  1 Hg 2.38
Cl: 0.4050 0.3231 0.1344  1 Hg 2.38
Cl: 0.5950 0.6769 0.8656  1 Hg 2.38
Cl: 0.6769 0.5950 0.3656  1 Hg 2.38
Cl: 0.6916 0.0563 0.4513  1 Pd 2.46
Cl: 0.6932 0.0414 0.8516  1 Hg 2.44, 1 Pd 2.51
Cl: 0.9437 0.3084 0.0487  1 Pd 2.46
Cl: 0.9586 0.3068 0.6484  1 Hg 2.44, 1 Pd 2.51

=====

Formation energy from raw total energies, record by record: -0.802, 0.266, 1.372, 0.078, 0.352, -0.555 eV/atom
Size of the total moment, record by record: 0.112, 0.037, 0.000, 0.000, 0.539, 0.100 μB/atom